P) DFT (PBE) results for a relaxed structure of CeEuEr.

a = 3.5722 Å, b = 3.5722 Å, c = 8.9108 Å
α = 90.00°, β = 90.00°, γ = 120.00°
Element x y z (fractional)
Ce1 0.0000 0.0000 0.0000
Eu1 0.3333 0.6667 0.6550
Er1 0.6667 0.3333 0.3110

Its space group is P3m1. The crystal system is trigonal. As for the total magnetization: 6.6 μB/f.u.

***

Q) DFT (PBE) results for a relaxed structure of CeEuEr.

a = 8.1739 Å, b = 8.1739 Å, c = 8.1739 Å
α = 154.72°, β = 154.72°, γ = 36.06°
Element x y z (fractional)
Ce1 0.0000 0.0000 0.0000
Eu1 0.6736 0.6736 0.0000
Er1 0.3492 0.3492 0.0000

Its space group is I4mm. The crystal system is tetragonal. As for the total magnetization: 6.5 μB/f.u.

***

Stability check: which of them is most stable? P).